1.
# Ac2Pr4Nd PBE relaxed
# ΔE to the lowest computed polymorph = 0.000 eV per atom
# Energy of formation = 17 kJ/mol of formula units
data_Ac2Pr4Nd
_cell_length_a 6.564
_cell_length_b 8.479
_cell_length_c 10.014
_cell_angle_alpha 85.23
_cell_angle_beta 77.20
_cell_angle_gamma 82.68
_space_group_name_H-M_alt 'P -1'
_space_group_IT_number 2
_space_group_name_Hall '-P 1'
loop_
_atom_site_label
_atom_site_fract_x
_atom_site_fract_y
_atom_site_fract_z
_atom_site_occupancy
Ac1 0.000 0.000 0.000 1
Ac2 0.212 0.570 0.076 1
Ac3 0.500 0.000 0.500 1
Pr1 0.071 0.855 0.360 1
Pr2 0.146 0.713 0.710 1
Pr3 0.286 0.430 0.433 1
Pr4 0.425 0.142 0.145 1
Nd1 0.363 0.285 0.782 1

=====

2.
# K2B2RhO6 PBE relaxed
# Formation energy from raw total energies = -1.76 eV per atom
data_K2B2RhO6
_cell_length_a 9.004
_cell_length_b 5.203
_cell_length_c 6.578
_cell_angle_alpha 90.00
_cell_angle_beta 116.46
_cell_angle_gamma 90.00
_space_group_name_H-M_alt 'C 1 2/m 1'
_space_group_IT_number 12
_space_group_name_Hall '-C 2y'
loop_
_atom_site_label
_atom_site_fract_x
_atom_site_fract_y
_atom_site_fract_z
_atom_site_occupancy
K1 0.207 0.000 0.123 1
B1 0.103 0.500 0.314 1
Rh1 0.000 0.000 0.500 1
O1 0.018 0.271 0.291 1
O2 0.248 0.000 0.699 1

=====

Number 1: total magnetization 0.0 μB per formula unit, theoretical density 7.2 g/cm3, V 538.2 Å³ per cell. Number 2: total magnetization 0.0 μB per formula unit, theoretical density 3.6 g/cm3, V 275.9 Å³ per cell.